[1]
Computed, not measured: a relaxed Rb3Ce2AgTe6 crystal at the PBE level of DFT.

Cell lengths 7.936, 7.936, 8.864 Å; angles 98.53, 98.53, 119.98 degrees
Each line ends with the local moment (μB).
Positions (direct):
Ce 0.667 0.333 0.000  0.19
Ce 0.333 0.667 0.000  0.19
Te 0.404 0.066 0.198  -0.01
Te 0.273 0.273 0.804  -0.01
Te 0.596 0.934 0.802  -0.01
Te 0.066 0.404 0.198  -0.01
Te 0.727 0.727 0.196  -0.01
Te 0.934 0.596 0.802  -0.01
Rb 0.837 0.163 0.500  0.00
Rb 0.163 0.837 0.500  0.00
Rb 0.500 0.500 0.500  0.00
Ag 0.000 0.000 0.000  -0.01

Output
Spin magnetization: 0.2 μB/f.u.
Formation energy from raw total energies: -1024 meV per atom

=====

[2]
Computed, not measured: a relaxed Rb4Ce3AgTe8 crystal at the PBE level of DFT.

Cell lengths 9.229, 9.999, 9.237 Å; angles 117.54, 119.97, 90.00 degrees
Each line ends with the local moment (μB).
Positions (direct):
Ce 0.500 0.500 0.500  0.46
Ce 0.500 0.500 0.000  0.46
Ce 0.000 0.500 0.500  0.46
Te 0.234 0.696 0.469  -0.03
Te 0.767 0.304 0.038  -0.03
Te 0.729 0.696 0.962  -0.03
Te 0.233 0.696 0.962  -0.03
Te 0.271 0.304 0.038  -0.03
Te 0.766 0.304 0.531  -0.03
Te 0.734 0.703 0.469  -0.02
Te 0.266 0.297 0.531  -0.02
Rb 0.500 0.000 0.500  0.00
Rb 0.000 0.000 0.000  0.00
Rb 0.000 0.000 0.500  0.00
Rb 0.500 0.000 0.000  0.00
Ag 0.000 0.500 0.000  -0.01

Output
Spin magnetization: 1.1 μB/f.u.
Formation energy from raw total energies: -1103 meV per atom

=====

[3]
Computed, not measured: a relaxed Rb3Ce3AgTe8 crystal at the PBE level of DFT.

Cell lengths 9.177, 8.969, 9.998 Å; angles 115.52, 90.00, 120.77 degrees
Each line ends with the local moment (μB).
Positions (direct):
Te 0.216 0.432 0.683  -0.02
Te 0.283 0.041 0.298  -0.02
Te 0.265 0.530 0.296  -0.02
Te 0.758 0.041 0.298  -0.02
Te 0.735 0.470 0.704  -0.02
Te 0.784 0.568 0.317  -0.02
Te 0.242 0.959 0.702  -0.02
Te 0.717 0.959 0.702  -0.02
Ag 0.000 0.000 0.500  0.00
Ce 0.500 0.000 0.500  0.35
Ce 0.000 0.500 0.500  0.37
Ce 0.500 0.500 0.500  0.37
Rb 0.500 0.500 0.000  0.00
Rb 0.000 0.000 0.000  0.00
Rb 0.000 0.500 0.000  0.00

Output
Spin magnetization: 0.8 μB/f.u.
Formation energy from raw total energies: -1034 meV per atom

=====

[4]
Computed, not measured: a relaxed Rb2CeAg2Te4 crystal at the PBE level of DFT.

Cell lengths 4.578, 8.718, 8.599 Å; angles 108.30, 105.44, 90.00 degrees
Each line ends with the local moment (μB).
Positions (direct):
Te 0.195 0.189 0.391  -0.01
Te 0.488 0.238 0.976  -0.01
Te 0.805 0.811 0.609  -0.01
Te 0.512 0.762 0.024  -0.01
Rb 0.865 0.426 0.730  0.00
Rb 0.135 0.574 0.270  0.00
Ag 0.320 0.015 0.639  0.00
Ag 0.680 0.985 0.361  0.00
Ce 0.000 0.000 0.000  0.26

Output
Spin magnetization: 0.2 μB/f.u.
Formation energy from raw total energies: -890 meV per atom

=====

[5]
Computed, not measured: a relaxed Ce2ReAg crystal at the PBE level of DFT.

Cell lengths 3.014, 3.014, 10.981 Å; angles 82.11, 82.11, 60.00 degrees
Positions (direct):
Ce 0.921 0.921 0.237
Ce 0.079 0.079 0.763
Ag 0.500 0.500 0.500
Re 0.000 0.000 0.000

Output
Energy of formation from the pure elements: 443 meV/atom
Spin magnetization: 0.0 μB/f.u.
Energy above the most stable polymorph in this dataset: 455 meV/atom

=====

[6]
Computed, not measured: a relaxed Ce2ReAg crystal at the PBE level of DFT.

Cell lengths 3.360, 3.360, 8.143 Å; angles 90.00, 90.00, 90.00 degrees
Positions (direct):
Re 0.500 0.500 0.000
Ce 0.000 0.000 0.218
Ce 0.000 0.000 0.782
Ag 0.500 0.500 0.500

Output
Energy of formation from the pure elements: -12 meV/atom
Spin magnetization: 0.0 μB/f.u.
Energy above the most stable polymorph in this dataset: 0 meV/atom

=====

[7]
Computed, not measured: a relaxed Ce2ReAg crystal at the PBE level of DFT.

Cell lengths 5.043, 5.043, 5.043 Å; angles 60.00, 60.00, 60.00 degrees
Each line ends with the local moment (μB).
Positions (direct):
Ce 0.250 0.250 0.250  0.13
Ce 0.750 0.750 0.750  0.13
Re 0.000 0.000 0.000  -0.03
Ag 0.500 0.500 0.500  0.01

Output
Energy of formation from the pure elements: 109 meV/atom
Spin magnetization: 0.3 μB/f.u.
Energy above the most stable polymorph in this dataset: 121 meV/atom

=====

[8]
Computed, not measured: a relaxed CeZrReAg crystal at the PBE level of DFT.

Cell lengths 4.900, 4.900, 4.900 Å; angles 60.00, 60.00, 60.00 degrees
Each line ends with the local moment (μB).
Positions (direct):
Zr 0.500 0.500 0.500  0.08
Ce 0.000 0.000 0.000  0.32
Ag 0.250 0.250 0.250  0.01
Re 0.750 0.750 0.750  -0.01

Output
Energy of formation from the pure elements: 63 meV/atom
Spin magnetization: 0.5 μB/f.u.

=====

[9]
Computed, not measured: a relaxed CeAgRh2 crystal at the PBE level of DFT.

Cell lengths 3.810, 4.321, 4.321 Å; angles 90.00, 90.00, 90.00 degrees
Positions (direct):
Ag 0.500 0.000 0.000
Rh 0.000 0.500 0.000
Rh 0.000 0.000 0.500
Ce 0.500 0.500 0.500

Output
Energy of formation from the pure elements: -530 meV/atom
Spin magnetization: 0.0 μB/f.u.

=====

[10]
Computed, not measured: a relaxed Ce8AgRh2 crystal at the PBE level of DFT.

Cell lengths 6.329, 7.740, 7.740 Å; angles 50.92, 98.66, 98.66 degrees
Each line ends with the local moment (μB).
Positions (direct):
Ce 0.809 0.535 0.535  0.09
Ce 0.377 0.868 0.361  0.32
Ce 0.191 0.465 0.465  0.09
Ce 0.869 0.206 0.206  0.81
Ce 0.131 0.794 0.794  0.81
Ce 0.623 0.639 0.132  0.32
Ce 0.623 0.132 0.639  0.32
Ce 0.377 0.361 0.868  0.32
Rh 0.700 0.726 0.726  -0.04
Rh 0.300 0.274 0.274  -0.04
Ag 0.000 0.000 0.000  0.01

Output
Energy of formation from the pure elements: -190 meV/atom
Spin magnetization: 3.7 μB/f.u.

=====

[11]
Computed, not measured: a relaxed Ce2AgRh crystal at the PBE level of DFT.

Cell lengths 4.066, 4.066, 7.761 Å; angles 74.81, 74.81, 60.00 degrees
Each line ends with the local moment (μB).
Positions (direct):
Ce 0.070 0.070 0.789  0.67
Ce 0.263 0.263 0.211  0.70
Ag 0.500 0.500 0.499  0.01
Rh 0.666 0.666 0.001  -0.07

Output
Energy of formation from the pure elements: -328 meV/atom
Spin magnetization: 1.6 μB/f.u.

=====

[12]
Computed, not measured: a relaxed Ce4AgRh2 crystal at the PBE level of DFT.

Cell lengths 7.664, 7.664, 7.652 Å; angles 108.30, 108.30, 111.90 degrees
Each line ends with the local moment (μB).
Positions (direct):
Ce 0.757 0.011 0.611  0.63
Ce 0.396 0.150 0.889  0.63
Ce 0.854 0.242 0.254  0.63
Ce 0.400 0.147 0.389  0.63
Ce 0.261 0.507 0.111  0.63
Ce 0.989 0.600 0.746  0.63
Ce 0.493 0.605 0.755  0.63
Ce 0.850 0.738 0.245  0.63
Rh 0.625 0.514 0.389  -0.06
Rh 0.764 0.374 0.888  -0.06
Rh 0.125 0.236 0.611  -0.06
Rh 0.486 0.875 0.112  -0.06
Ag 0.000 0.000 0.000  0.01
Ag 0.250 0.750 0.500  0.01

Output
Energy of formation from the pure elements: -423 meV/atom
Spin magnetization: 3.1 μB/f.u.